Entry 1:
An optimized crystal structure of Fe2SiHg, computed with GGA-PBE.

a b c (Å): 4.370 4.370 5.021
angles (deg): 97.63 97.63 40.15
Fractional coordinates of all 4 atoms:
Fe (0.000, 0.000, 0.000)
Fe (0.724, 0.724, 0.188)
Si (0.264, 0.264, 0.843)
Hg (0.477, 0.477, 0.489)

Mass density (g/cm³): 9.2
E_form (uncorrected) (eV per atom): 0.293
Energy above the most stable polymorph in this dataset (meV/atom): 215
Raw total energy (eV/atom): -5.3699

=====

Entry 2:
An optimized crystal structure of CeEuC, computed with GGA-PBE.

a b c (Å): 6.744 6.744 6.744
angles (deg): 152.10 152.10 39.87
Fractional coordinates of all 3 atoms:
Ce (0.000, 0.000, 0.000)
Eu (0.219, 0.219, 0.000)
C (0.586, 0.586, 0.000)

Mass density (g/cm³): 7.5
Energy above the most stable polymorph in this dataset (meV/atom): 217
Raw total energy (eV/atom): -8.2707
Formation enthalpy at 0 K (eV per atom): 0.2067

=====

Entry 3:
An optimized crystal structure of Pr2ThGe, computed with GGA-PBE.

a b c (Å): 3.958 3.958 7.346
angles (deg): 90.00 90.00 90.00
Fractional coordinates of all 4 atoms:
Pr (0.000, 0.000, 0.208)
Pr (0.000, 0.000, 0.792)
Th (0.500, 0.500, 0.500)
Ge (0.500, 0.500, 0.000)

Mass density (g/cm³): 8.5
Energy above the most stable polymorph in this dataset (meV/atom): 0
Raw total energy (eV/atom): -5.6873
Formation enthalpy at 0 K (eV per atom): -0.2883

=====

Entry 4:
An optimized crystal structure of CaZr2BPt, computed with GGA-PBE.

a b c (Å): 5.056 5.056 4.686
angles (deg): 90.00 90.00 90.00
Fractional coordinates of all 5 atoms:
Ca (0.000, 0.000, 0.000)
Zr (0.000, 0.500, 0.000)
Zr (0.500, 0.000, 0.000)
B (0.500, 0.500, 0.500)
Pt (0.000, 0.000, 0.500)

Mass density (g/cm³): 5.9
Raw total energy (eV/atom): -4.2394
Formation enthalpy at 0 K (eV per atom): 2.1238

=====

Look up the mass density of the first one.
9.2 g/cm³

=====

Which of these has the highest raw total energy?
CaZr2BPt

=====

What did the fourth record say?
An optimized crystal structure of CaZr2BPt, computed with GGA-PBE.

a b c (Å): 5.056 5.056 4.686
angles (deg): 90.00 90.00 90.00
Fractional coordinates of all 5 atoms:
Ca (0.000, 0.000, 0.000)
Zr (0.000, 0.500, 0.000)
Zr (0.500, 0.000, 0.000)
B (0.500, 0.500, 0.500)
Pt (0.000, 0.000, 0.500)

Mass density (g/cm³): 5.9
Raw total energy (eV/atom): -4.2394
Formation enthalpy at 0 K (eV per atom): 2.1238

=====

The lowest mass density belongs to which entry?
CaZr2BPt